No. 1
DFT (GGA-PBE) results for a relaxed structure of MgZnS2O8.

Cell: 6.7828 6.7828 5.6725 Å, 90.00 90.00 90.00°
Closest atoms and distances in Å follow each position.
Space group I-4m2 (No. 119)
Symmetry-distinct sites (fractional):
Mg 0.0000 0.0000 0.0000 (multiplicity 2)  8 O 2.23-2.27
Zn 0.0000 0.5000 0.2500 (multiplicity 2)  8 O 2.25-2.28
S 0.0000 0.0000 0.5000 (multiplicity 2)  4 O 1.49
S 0.0000 0.5000 0.7500 (multiplicity 2)  4 O 1.49
O 0.0000 0.1720 0.3360 (multiplicity 8)  1 S 1.49
O 0.0000 0.3265 0.9121 (multiplicity 8)  1 S 1.49

## Properties
- ΔE_f (raw) (eV/atom) = -1.56
- total magnetization (μB/f.u.) = 0.0



No. 2
DFT (GGA-PBE) results for a relaxed structure of MgSb2O4.

Cell: 13.2815 3.2792 10.3616 Å, 90.00 109.98 90.00°
Closest atoms and distances in Å follow each position.
Space group C2/m (No. 12)
Symmetry-distinct sites (fractional):
Mg 0.2496 0.0000 0.2498 (multiplicity 4)  6 O 2.09-2.18
Sb 0.1189 0.0000 0.9063 (multiplicity 4)  3 O 2.03-2.10
Sb 0.1188 0.5000 0.4070 (multiplicity 4)  3 O 2.03-2.10
O 0.0992 0.0000 0.2734 (multiplicity 4)  1 Mg 2.09, 2 Sb 2.10
O 0.0996 0.5000 0.7728 (multiplicity 4)  1 Mg 2.09, 2 Sb 2.10
O 0.2315 0.5000 0.1049 (multiplicity 4)  1 Sb 2.03, 2 Mg 2.18
O 0.2318 0.0000 0.6049 (multiplicity 4)  1 Sb 2.03, 2 Mg 2.18

## Properties
- ΔE_f (raw) (eV/atom) = -1.67
- total magnetization (μB/f.u.) = 0.0
- relative energy among the computed polymorphs (eV/atom) = 0.103



No. 3
DFT (GGA-PBE) results for a relaxed structure of MgSb2O4.

Cell: 3.1828 11.1944 10.7640 Å, 90.00 90.00 90.00°
Closest atoms and distances in Å follow each position.
Space group Cmcm (No. 63)
Symmetry-distinct sites (fractional):
Mg 0.0000 0.1100 0.2500 (multiplicity 4)  2 O 2.09
Sb 0.0000 0.3681 0.0781 (multiplicity 8)  6 O 2.30-2.40
O 0.0000 0.0000 0.0000 (multiplicity 4)  4 Sb 2.33
O 0.0000 0.2875 0.6190 (multiplicity 8)  3 Sb 2.31-2.40, 2 Mg 2.42
O 0.0000 0.4896 0.2500 (multiplicity 4)  2 Mg 2.09, 2 Sb 2.30

## Properties
- ΔE_f (raw) (eV/atom) = -1.30
- total magnetization (μB/f.u.) = 0.0
- relative energy among the computed polymorphs (eV/atom) = 0.469



No. 4
DFT (GGA-PBE) results for a relaxed structure of MgSb2O6.

Cell: 7.5659 5.4839 5.2047 Å, 90.00 90.00 90.00°
Closest atoms and distances in Å follow each position.
Space group Pmn2_1 (No. 31)
Symmetry-distinct sites (fractional):
Mg 0.0000 0.1753 0.0000 (multiplicity 2)  6 O 2.08-2.23
Sb 0.2487 0.7416 0.9733 (multiplicity 4)  6 O 1.98-2.05
O 0.0000 0.2826 0.6173 (multiplicity 2)  2 Sb 2.05, 1 Mg 2.08
O 0.0000 0.8056 0.8590 (multiplicity 2)  2 Sb 2.00, 1 Mg 2.16
O 0.1823 0.9706 0.2570 (multiplicity 4)  2 Sb 2.00-2.01, 1 Mg 2.23
O 0.1829 0.4324 0.1465 (multiplicity 4)  2 Sb 1.98-2.02, 1 Mg 2.12

## Properties
- ΔE_f (raw) (eV/atom) = -1.62
- total magnetization (μB/f.u.) = 0.0



No. 5
DFT (GGA-PBE) results for a relaxed structure of Mg2SbO.

Cell: 6.6633 6.6633 6.6633 Å, 90.00 90.00 90.00°
Closest atoms and distances in Å follow each position.
Space group Fm-3m (No. 225)
Symmetry-distinct sites (fractional):
Mg 0.2500 0.2500 0.2500 (multiplicity 8)  4 O 2.89, 4 Sb 2.89
Sb 0.0000 0.0000 0.0000 (multiplicity 4)  8 Mg 2.89
O 0.0000 0.0000 0.5000 (multiplicity 4)  8 Mg 2.89

## Properties
- ΔE_f (raw) (eV/atom) = -0.32
- total magnetization (μB/f.u.) = 1.0
- relative energy among the computed polymorphs (eV/atom) = 0.941



No. 6
DFT (GGA-PBE) results for a relaxed structure of MgSbO2.

Cell: 5.1575 5.1575 9.3954 Å, 90.00 90.00 90.00°
Closest atoms and distances in Å follow each position.
Space group I-42d (No. 122)
Symmetry-distinct sites (fractional):
Mg 0.0000 0.0000 0.0000 (multiplicity 4)  4 O 1.99
Sb 0.0000 0.0000 0.5000 (multiplicity 4)  4 O 2.37
O 0.1875 0.2500 0.1250 (multiplicity 8)  2 Mg 1.99

## Properties
- ΔE_f (raw) (eV/atom) = -1.38
- total magnetization (μB/f.u.) = 0.0
- relative energy among the computed polymorphs (eV/atom) = 0.313



No. 7
DFT (GGA-PBE) results for a relaxed structure of Mg4Sb2O.

Cell: 4.3665 4.3665 14.4873 Å, 90.00 90.00 90.00°
Closest atoms and distances in Å follow each position.
Space group I4/mmm (No. 139)
Symmetry-distinct sites (fractional):
Mg 0.0000 0.0000 0.1552 (multiplicity 4)  1 O 2.25
Mg 0.0000 0.5000 0.0000 (multiplicity 4)  2 O 2.18
Sb 0.0000 0.0000 0.3553 (multiplicity 4)  9 Mg 2.90-3.09
O 0.0000 0.0000 0.0000 (multiplicity 2)  6 Mg 2.18-2.25

## Properties
- ΔE_f (raw) (eV/atom) = -0.97
- total magnetization (μB/f.u.) = 0.0



No. 8
DFT (GGA-PBE) results for a relaxed structure of Mg3Sb2O7.

Cell: 19.0138 5.4256 5.6017 Å, 90.00 90.00 90.00°
Closest atoms and distances in Å follow each position.
Space group Cmc2_1 (No. 36)
Symmetry-distinct sites (fractional):
Mg 0.0000 0.2307 0.0000 (multiplicity 4)  4 O 2.02-2.03
Mg 0.2019 0.2614 0.9416 (multiplicity 8)  4 O 2.05-2.16
Sb 0.1079 0.2478 0.5038 (multiplicity 8)  5 O 2.05-2.23
O 0.0000 0.1020 0.3385 (multiplicity 4)  2 Mg 2.02
O 0.0830 0.4110 0.8540 (multiplicity 8)  1 Mg 2.03, 2 Sb 2.09-2.20
O 0.1522 0.0595 0.2202 (multiplicity 8)  2 Sb 2.07-2.23, 1 Mg 2.13
O 0.2062 0.3836 0.5740 (multiplicity 8)  1 Sb 2.05, 3 Mg 2.05-2.16

## Properties
- ΔE_f (raw) (eV/atom) = -1.91
- total magnetization (μB/f.u.) = 0.0



No. 9
DFT (GGA-PBE) results for a relaxed structure of MgSb2O5.

Cell: 3.3001 5.2733 12.5414 Å, 78.33 89.97 89.97°
Closest atoms and distances in Å follow each position.
Space group P-1 (No. 2)
Symmetry-distinct sites (fractional):
Mg 0.2493 0.3068 0.2347 (multiplicity 2)  6 O 2.07-2.18
Sb 0.2507 0.1727 0.8918 (multiplicity 2)  7 O 2.04-2.18
Sb 0.2506 0.1954 0.6167 (multiplicity 2)  4 O 2.09-2.20
O 0.2494 0.0435 0.3894 (multiplicity 2)  2 Sb 2.09, 1 Mg 2.15
O 0.2494 0.6044 0.0988 (multiplicity 2)  2 Sb 2.04, 1 Mg 2.07
O 0.2498 0.0965 0.0613 (multiplicity 2)  3 Sb 2.08-2.18
O 0.2503 0.9544 0.7729 (multiplicity 2)  2 Sb 2.06-2.11, 2 Mg 2.16
O 0.2511 0.4436 0.7378 (multiplicity 2)  2 Sb 2.16-2.20, 2 Mg 2.18

## Properties
- ΔE_f (raw) (eV/atom) = -1.59
- total magnetization (μB/f.u.) = 0.0
- relative energy among the computed polymorphs (eV/atom) = 0.000



No. 10
DFT (GGA-PBE) results for a relaxed structure of MgSbO2.

Cell: 3.6036 3.6036 18.1576 Å, 90.00 90.00 120.00°
Closest atoms and distances in Å follow each position.
Space group R-3m (No. 166, hexagonal axes)
Symmetry-distinct sites (fractional):
Mg 0.0000 0.0000 0.0000 (multiplicity 3)  2 O 1.91
Sb 0.0000 0.0000 0.5000 (multiplicity 3)  6 O 2.36
O 0.0000 0.0000 0.1054 (multiplicity 6)  1 Mg 1.91

## Properties
- ΔE_f (raw) (eV/atom) = -1.09
- total magnetization (μB/f.u.) = 0.0
- relative energy among the computed polymorphs (eV/atom) = 0.601



No. 11
DFT (GGA-PBE) results for a relaxed structure of Mg3SbO4.

Cell: 4.6032 4.6032 4.6032 Å, 90.00 90.00 90.00°
Closest atoms and distances in Å follow each position.
Space group Pm-3m (No. 221)
Symmetry-distinct sites (fractional):
Mg 0.0000 0.0000 0.5000 (multiplicity 3)  6 O 2.30
Sb 0.5000 0.5000 0.5000 (multiplicity 1)  6 O 2.30
O 0.0000 0.0000 0.0000 (multiplicity 1)  6 Mg 2.30
O 0.0000 0.5000 0.5000 (multiplicity 3)  2 Sb 2.30, 4 Mg 2.30

## Properties
- ΔE_f (raw) (eV/atom) = -1.78
- total magnetization (μB/f.u.) = 0.0



No. 12
DFT (GGA-PBE) results for a relaxed structure of MgSb2O4.

Cell: 3.6826 10.1171 11.2619 Å, 90.00 90.00 90.00°
Closest atoms and distances in Å follow each position.
Space group Pbcm (No. 57)
Symmetry-distinct sites (fractional):
Mg 0.1414 0.1418 0.2500 (multiplicity 4)  4 O 2.01-2.23
Sb 0.4320 0.1274 0.5946 (multiplicity 8)  2 O 1.98-2.02
O 0.2467 0.7500 0.0000 (multiplicity 4)  2 Sb 2.02
O 0.2681 0.0342 0.1054 (multiplicity 8)  1 Sb 1.98, 1 Mg 2.01
O 0.3467 0.7399 0.7500 (multiplicity 4)  2 Mg 2.16-2.23, 2 Sb 2.24

## Properties
- ΔE_f (raw) (eV/atom) = -1.49
- total magnetization (μB/f.u.) = 0.0
- relative energy among the computed polymorphs (eV/atom) = 0.288